No. 1
A relaxed Si2TeIr crystal, computed with PBE.

Structure (POSCAR):
```
Si2TeIr
1.0
-2.504 0.134 1.532
-1.769 -0.254 -2.870
0.005 -7.566 0.667
Ir Te Si
1 1 2
Direct
0.500 0.500 0.823
0.000 0.000 0.542
0.500 0.500 0.161
0.000 0.000 0.974
```

## Properties
* energy relative to the elements, uncorrected: 19 kJ/mol of atoms
* ρ: 8.3 g cm⁻³
* VASP energy: -5.52 eV/atom

No. 2
A relaxed BaY2MgPt crystal, computed with PBE.

Structure (POSCAR):
```
BaY2MgPt
1.0
-3.539 -1.389 -4.019
4.241 -0.769 -3.468
0.303 -5.152 1.514
Ba Y Mg Pt
1 2 1 1
Direct
0.500 0.500 0.500
0.500 0.000 0.000
0.000 0.500 0.000
0.000 0.000 0.500
0.000 0.000 0.000
```

## Properties
* ΔE_f: -404 meV/atom
* ρ: 5.4 g cm⁻³
* VASP energy: -4.90 eV/atom

No. 3
A relaxed In2HgTeRh crystal, computed with PBE.

Structure (POSCAR):
```
In2HgTeRh
1.0
5.425 0.000 0.000
0.000 5.176 0.000
0.000 0.000 5.425
Rh In Te Hg
1 2 1 1
Direct
0.000 0.500 0.000
0.000 0.000 0.500
0.500 0.000 0.000
0.500 0.500 0.500
0.000 0.000 0.000
```

## Properties
* energy relative to the elements, uncorrected: 61 kJ/mol of atoms
* ρ: 7.2 g cm⁻³
* VASP energy: -2.62 eV/atom

No. 4
A relaxed Pr8Ge5Pt crystal, computed with PBE.

Structure (POSCAR):
```
Pr8Ge5Pt
1.0
-7.579 -2.083 -1.457
4.155 0.072 -6.829
3.192 -5.300 5.062
Ge Pt Pr
5 1 8
Direct
0.997 0.371 0.125
0.500 0.000 0.500
0.374 0.128 0.003
0.875 0.872 0.246
0.754 0.629 0.626
0.250 0.500 0.750
0.998 0.126 0.744
0.121 0.752 0.504
0.630 0.382 0.879
0.752 0.248 0.370
0.256 0.254 0.382
0.618 0.874 0.872
0.496 0.618 0.248
0.128 0.746 0.002
```

## Properties
* ΔE_f: -794 meV/atom
* ρ: 7.1 g cm⁻³
* VASP energy: -5.61 eV/atom

No. 5
A relaxed ErGaPdRu crystal, computed with PBE.

Structure (POSCAR):
```
ErGaPdRu
1.0
4.575 0.000 0.000
2.288 3.962 0.000
2.288 1.321 3.736
Ga Pd Ru Er
1 1 1 1
Direct
0.000 0.000 0.000
0.250 0.250 0.250
0.750 0.750 0.750
0.500 0.500 0.500
```

## Properties
* ΔE_f: -595 meV/atom
* ρ: 10.9 g cm⁻³
* VASP energy: -6.11 eV/atom

No. 6
A relaxed Ag2Sb2S5 crystal, computed with PBE.

Structure (POSCAR):
```
Ag2Sb2S5
1.0
3.885 -0.960 -1.250
-2.304 6.918 -2.695
-0.182 0.255 9.008
S Sb Ag
5 2 2
Direct
0.224 0.825 0.556
0.776 0.175 0.444
0.865 0.442 0.860
0.135 0.558 0.140
0.000 0.000 0.000
0.958 0.111 0.727
0.042 0.889 0.273
0.785 0.244 0.177
0.215 0.756 0.823
```

## Properties
* energy relative to the elements, uncorrected: -8 kJ/mol of atoms
* ρ: 4.6 g cm⁻³
* VASP energy: -3.93 eV/atom

No. 7
A relaxed Pm2Pr12Y5 crystal, computed with PBE.

Structure (POSCAR):
```
Pm2Pr12Y5
1.0
-6.577 -2.552 -1.521
3.647 -6.678 -4.563
1.934 -1.694 11.601
Pr Y Pm
12 5 2
Direct
0.637 0.614 0.787
0.053 0.207 0.601
0.363 0.386 0.213
0.856 0.938 0.712
0.452 0.306 0.904
0.452 0.793 0.399
0.850 0.386 0.213
0.144 0.062 0.288
0.947 0.793 0.399
0.548 0.694 0.096
0.150 0.614 0.787
0.548 0.207 0.601
0.652 0.098 0.303
0.000 0.500 0.000
0.249 0.491 0.498
0.348 0.902 0.697
0.751 0.509 0.502
0.255 0.000 0.000
0.745 0.000 0.000
```

## Properties
* ΔE_f: 124 meV/atom
* ρ: 5.9 g cm⁻³
* VASP energy: -5.10 eV/atom

No. 8
A relaxed Ac3TbRh crystal, computed with PBE.

Structure (POSCAR):
```
Ac3TbRh
1.0
5.828 0.000 0.000
0.000 5.828 0.000
0.000 0.000 5.828
Ac Tb Rh
3 1 1
Direct
0.500 0.000 0.000
0.000 0.000 0.500
0.000 0.500 0.000
0.500 0.500 0.500
0.000 0.000 0.000
```

## Properties
* ΔE_f: -157 meV/atom
* ρ: 7.9 g cm⁻³
* VASP energy: -5.02 eV/atom

No. 9
A relaxed SmEr2CuS5 crystal, computed with PBE.

Structure (POSCAR):
```
SmEr2CuS5
1.0
3.791 0.000 0.000
-1.895 9.001 0.000
0.000 0.000 11.046
Er S Sm Cu
4 10 2 2
Direct
0.091 0.181 0.683
0.889 0.779 0.808
0.909 0.819 0.183
0.111 0.221 0.308
0.496 0.991 0.780
0.670 0.340 0.830
0.504 0.009 0.280
0.698 0.396 0.193
0.359 0.719 0.005
0.641 0.281 0.505
0.330 0.660 0.330
0.302 0.604 0.693
0.046 0.092 0.064
0.954 0.908 0.564
0.804 0.608 0.509
0.196 0.392 0.009
0.437 0.874 0.452
0.563 0.126 0.952
```

## Properties
* energy relative to the elements, uncorrected: -161 kJ/mol of atoms
* ρ: 6.2 g cm⁻³
* VASP energy: -5.95 eV/atom

No. 10
A relaxed Sc2CrSi crystal, computed with PBE.

Structure (POSCAR):
```
Sc2CrSi
1.0
-0.570 3.626 -2.679
-3.798 0.436 -2.456
-3.061 3.175 1.094
Sc Cr Si
2 1 1
Direct
0.000 0.000 0.000
0.250 0.250 0.250
0.500 0.500 0.500
0.750 0.750 0.750
```

## Properties
* energy relative to the elements, uncorrected: -12 kJ/mol of atoms
* ρ: 4.3 g cm⁻³
* VASP energy: -7.05 eV/atom

No. 11
A relaxed NaTaSiH2 crystal, computed with PBE.

Structure (POSCAR):
```
NaTaSiH2
1.0
3.710 0.000 0.000
0.000 5.732 0.000
0.000 0.000 3.710
H Na Ta Si
2 1 1 1
Direct
0.000 0.000 0.500
0.500 0.000 0.000
0.000 0.500 0.000
0.000 0.000 0.000
0.500 0.500 0.500
```

## Properties
* ρ: 4.9 g cm⁻³
* VASP energy: -4.00 eV/atom

No. 12
A relaxed RbNaTaRu2 crystal, computed with PBE.

Structure (POSCAR):
```
RbNaTaRu2
1.0
-1.773 -2.505 3.757
3.894 0.480 2.158
-1.610 4.121 1.988
Rb Na Ru Ta
1 1 2 1
Direct
0.000 0.000 0.000
0.000 0.500 0.000
0.500 0.000 0.000
0.000 0.000 0.500
0.500 0.500 0.500
```

## Properties
* ΔE_f: 2519 meV/atom
* ρ: 7.7 g cm⁻³
* VASP energy: -4.02 eV/atom